Entry 1:
Computed, not measured: a relaxed NbCu2HPt crystal at the PBE level of DFT.

Fermi-level density of states: 0.79 states/eV/atom
Total magnetic moment: 0.00 Bohr magnetons per cell
Electronic total energy: -5.569 eV/atom

a = 3.855 Å, b = 3.855 Å, c = 4.123 Å
α = 90.00°, β = 90.00°, γ = 90.00°
Space group P4/mmm (No. 123)
Unique sites:
Nb: 0.000 0.000 0.000
Cu: 0.000 0.500 0.500
H: 0.000 0.000 0.500
Pt: 0.500 0.500 0.000



Entry 2:
Computed, not measured: a relaxed Nb2CuHPt crystal at the PBE level of DFT.

Fermi-level density of states: 0.52 states/eV/atom
Total magnetic moment: 0.00 Bohr magnetons per cell
Energy above the most stable polymorph in this dataset: 6.15 kJ per mole of atoms
Electronic total energy: -6.919 eV/atom

a = 4.076 Å, b = 4.076 Å, c = 4.022 Å
α = 90.00°, β = 90.00°, γ = 90.00°
Space group P4/mmm (No. 123)
Unique sites:
Nb: 0.000 0.500 0.000
Cu: 0.000 0.000 0.500
H: 0.500 0.500 0.000
Pt: 0.500 0.500 0.500



Entry 3:
Computed, not measured: a relaxed NbCuHRh2 crystal at the PBE level of DFT.

Fermi-level density of states: 0.84 states/eV/atom
Total magnetic moment: 0.00 Bohr magnetons per cell
Energy above the most stable polymorph in this dataset: 0.00 kJ per mole of atoms
Electronic total energy: -6.609 eV/atom

a = 4.037 Å, b = 4.037 Å, c = 3.722 Å
α = 90.00°, β = 90.00°, γ = 90.00°
Space group P4/mmm (No. 123)
Unique sites:
Nb: 0.000 0.000 0.000
Cu: 0.500 0.500 0.000
H: 0.500 0.500 0.500
Rh: 0.000 0.500 0.500



Entry 4:
Computed, not measured: a relaxed Nb2CuHRh crystal at the PBE level of DFT.

Fermi-level density of states: 0.72 states/eV/atom
Total magnetic moment: 0.00 Bohr magnetons per cell
Energy above the most stable polymorph in this dataset: 0.00 kJ per mole of atoms
Electronic total energy: -7.153 eV/atom

a = 4.051 Å, b = 4.051 Å, c = 3.947 Å
α = 90.00°, β = 90.00°, γ = 90.00°
Space group P4/mmm (No. 123)
Unique sites:
Nb: 0.000 0.500 0.000
Cu: 0.000 0.000 0.500
H: 0.000 0.000 0.000
Rh: 0.500 0.500 0.500



Entry 5:
Computed, not measured: a relaxed NbCu2HRh crystal at the PBE level of DFT.

Fermi-level density of states: 0.80 states/eV/atom
Total magnetic moment: 0.00 Bohr magnetons per cell
Electronic total energy: -5.787 eV/atom

a = 3.787 Å, b = 3.787 Å, c = 4.141 Å
α = 90.00°, β = 90.00°, γ = 90.00°
Space group P4/mmm (No. 123)
Unique sites:
Nb: 0.000 0.000 0.000
Cu: 0.000 0.500 0.500
H: 0.000 0.000 0.500
Rh: 0.500 0.500 0.000



Entry 6:
Computed, not measured: a relaxed Nb2CuHRh crystal at the PBE level of DFT.

Fermi-level density of states: 0.72 states/eV/atom
Total magnetic moment: 0.00 Bohr magnetons per cell
Energy above the most stable polymorph in this dataset: 1.32 kJ per mole of atoms
Electronic total energy: -7.140 eV/atom

a = 4.062 Å, b = 4.062 Å, c = 3.958 Å
α = 90.00°, β = 90.00°, γ = 90.00°
Space group P4/mmm (No. 123)
Unique sites:
Nb: 0.000 0.500 0.000
Cu: 0.000 0.000 0.500
H: 0.500 0.500 0.000
Rh: 0.500 0.500 0.500



Entry 7:
Computed, not measured: a relaxed NbCuHRh2 crystal at the PBE level of DFT.

Fermi-level density of states: 0.70 states/eV/atom
Total magnetic moment: 0.00 Bohr magnetons per cell
Energy above the most stable polymorph in this dataset: 0.87 kJ per mole of atoms
Electronic total energy: -6.600 eV/atom

a = 3.956 Å, b = 3.956 Å, c = 3.919 Å
α = 90.00°, β = 90.00°, γ = 90.00°
Space group P4/mmm (No. 123)
Unique sites:
Nb: 0.000 0.000 0.000
Cu: 0.500 0.500 0.000
H: 0.000 0.000 0.500
Rh: 0.000 0.500 0.500



Entry 8:
Computed, not measured: a relaxed Nb2CuHRu crystal at the PBE level of DFT.

Fermi-level density of states: 0.70 states/eV/atom
Total magnetic moment: 0.00 Bohr magnetons per cell
Energy above the most stable polymorph in this dataset: 0.00 kJ per mole of atoms
Electronic total energy: -7.443 eV/atom

a = 4.076 Å, b = 4.076 Å, c = 3.882 Å
α = 90.00°, β = 90.00°, γ = 90.00°
Space group P4/mmm (No. 123)
Unique sites:
Nb: 0.000 0.500 0.000
Cu: 0.000 0.000 0.500
H: 0.000 0.000 0.000
Ru: 0.500 0.500 0.500



Entry 9:
Computed, not measured: a relaxed NbCuHRu2 crystal at the PBE level of DFT.

Fermi-level density of states: 1.02 states/eV/atom
Total magnetic moment: 0.02 Bohr magnetons per cell
Energy above the most stable polymorph in this dataset: 0.00 kJ per mole of atoms
Electronic total energy: -7.280 eV/atom

a = 4.034 Å, b = 4.034 Å, c = 3.676 Å
α = 90.00°, β = 90.00°, γ = 90.00°
Space group P4/mmm (No. 123)
Unique sites:
Nb: 0.000 0.000 0.000
Cu: 0.500 0.500 0.000
H: 0.500 0.500 0.500
Ru: 0.000 0.500 0.500



Entry 10:
Computed, not measured: a relaxed Nb2CuHRu crystal at the PBE level of DFT.

Fermi-level density of states: 0.74 states/eV/atom
Total magnetic moment: 0.00 Bohr magnetons per cell
Energy above the most stable polymorph in this dataset: 0.28 kJ per mole of atoms
Electronic total energy: -7.440 eV/atom

a = 4.069 Å, b = 4.069 Å, c = 3.927 Å
α = 90.00°, β = 90.00°, γ = 90.00°
Space group P4/mmm (No. 123)
Unique sites:
Nb: 0.000 0.500 0.000
Cu: 0.000 0.000 0.500
H: 0.500 0.500 0.000
Ru: 0.500 0.500 0.500



Entry 11:
Computed, not measured: a relaxed NbCuHRu2 crystal at the PBE level of DFT.

Fermi-level density of states: 0.93 states/eV/atom
Total magnetic moment: 0.00 Bohr magnetons per cell
Energy above the most stable polymorph in this dataset: 5.85 kJ per mole of atoms
Electronic total energy: -7.219 eV/atom

a = 3.926 Å, b = 3.926 Å, c = 3.933 Å
α = 90.00°, β = 90.00°, γ = 90.00°
Space group P4/mmm (No. 123)
Unique sites:
Nb: 0.000 0.000 0.000
Cu: 0.500 0.500 0.000
H: 0.000 0.000 0.500
Ru: 0.000 0.500 0.500



Entry 12:
Computed, not measured: a relaxed NbCu2HS4 crystal at the PBE level of DFT.

Total magnetic moment: 0.00 Bohr magnetons per cell
Electronic total energy: -5.213 eV/atom

a = 7.673 Å, b = 6.365 Å, c = 6.505 Å
α = 90.00°, β = 90.00°, γ = 90.00°
Space group Pmn2_1 (No. 31)
Unique sites:
Nb: 0.000 0.181 0.000
Cu: 0.238 0.662 0.980
H: 0.000 0.988 0.581
S: 0.000 0.199 0.621
S: 0.000 0.841 0.104
S: 0.247 0.335 0.128